(1)
The following is a PBE-GGA calculation of La2IBr5 after structural relaxation, from Alexandria via LeMat-Bulk.

The structure in POSCAR format:
```
La2IBr5
1.0
4.9842 0.0000 0.0000
0.0000 9.0945 0.0000
0.0000 0.0000 11.7372
La I Br
4 2 10
Cartesian
0.0000 0.0000 2.8872
0.0000 0.0000 8.8500
2.4921 4.5473 2.9814
2.4921 4.5473 8.7558
0.0000 4.5473 0.0000
2.4921 0.0000 5.8686
0.0000 0.0000 0.0000
0.0000 2.8521 3.9362
0.0000 2.8521 7.8010
0.0000 6.2424 3.9362
0.0000 6.2424 7.8010
2.4921 1.6952 1.9324
2.4921 1.6952 9.8048
2.4921 4.5473 5.8686
2.4921 7.3994 1.9324
2.4921 7.3994 9.8048
```

Calculated volume in A^3/atom: 33.252
Calculated density in g/cm³: 5.02
Energy in eV for the cell shown: -68.036

***

(2)
The following is a PBE-GGA calculation of ZnHgIr2 after structural relaxation, from Alexandria via LeMat-Bulk.

The structure in POSCAR format:
```
ZnHgIr2
1.0
9.1730 0.0000 0.0000
0.0000 2.8718 0.0000
-1.0638 0.0000 4.8378
Zn Hg Ir
2 2 4
Cartesian
0.0000 0.0000 0.0000
4.5865 1.4359 0.0000
-0.5319 1.4359 2.4189
4.0546 0.0000 2.4189
1.9316 1.4359 1.0917
1.5911 0.0000 3.7461
6.5181 0.0000 1.0917
6.1776 1.4359 3.7461
```

Calculated volume in A^3/atom: 15.930
Calculated density in g/cm³: 16.95
Formation enthalpy at 0 K in meV per atom: 194.0

***

(3)
The following is a PBE-GGA calculation of LaScInSn2 after structural relaxation, from Alexandria via LeMat-Bulk.

The structure in POSCAR format:
```
LaScInSn2
1.0
5.3989 0.0000 0.0000
0.0000 5.3989 0.0000
0.0000 0.0000 5.3860
La Sc In Sn
1 1 1 2
Cartesian
0.0000 0.0000 0.0000
2.6994 2.6994 2.6930
2.6994 2.6994 0.0000
0.0000 2.6994 2.6930
2.6994 0.0000 2.6930
```

Calculated volume in A^3/atom: 31.398
Calculated density in g/cm³: 5.67
Formation enthalpy at 0 K in meV per atom: -140.0

***

(4)
The following is a PBE-GGA calculation of TlCrCo2 after structural relaxation, from Alexandria via LeMat-Bulk.

The structure in POSCAR format:
```
TlCrCo2
1.0
2.9916 0.0000 0.0000
0.0000 2.9916 0.0000
0.0000 0.0000 6.2073
Tl Cr Co
1 1 2
Cartesian
0.0000 0.0000 0.0000
0.0000 0.0000 3.1037
1.4958 1.4958 1.8179
1.4958 1.4958 4.3894
```

Calculated volume in A^3/atom: 13.888
Calculated density in g/cm³: 11.19
Formation enthalpy at 0 K in meV per atom: 405.7
Distance to the lowest polymorph of the same formula in eV per atom: 0.0000

***

(5)
The following is a PBE-GGA calculation of Ce3Sb3S after structural relaxation, from Alexandria via LeMat-Bulk.

The structure in POSCAR format:
```
Ce3Sb3S
1.0
4.3196 -6.6205 0.0000
4.3196 6.6205 0.0000
-0.3476 0.0000 7.7675
Ce Sb S
6 6 2
Cartesian
0.6370 0.0000 2.2323
2.4020 2.2485 6.0295
2.4020 -2.2485 6.0295
5.8897 2.2485 1.7381
5.8897 -2.2485 1.7381
7.6547 0.0000 5.5352
4.3196 4.4250 0.0000
4.1459 3.7653 3.8838
3.5131 0.0000 1.1141
4.7786 0.0000 6.6534
4.1459 -3.7653 3.8838
4.3196 -4.4250 0.0000
1.7247 0.0000 4.7354
6.5670 0.0000 3.0321
```

Calculated volume in A^3/atom: 31.734
Calculated density in g/cm³: 6.11
Energy in eV for the cell shown: -82.991

***

(6)
The following is a PBE-GGA calculation of Cs2Li3Br5 after structural relaxation, from Alexandria via LeMat-Bulk.

The structure in POSCAR format:
```
Cs2Li3Br5
1.0
7.9293 -2.2274 0.0000
7.9293 2.2274 0.0000
-4.2476 0.0000 9.2017
Cs Li Br
2 3 5
Cartesian
1.9959 0.0000 2.0786
9.6151 0.0000 7.1231
5.8055 2.2091 4.6008
6.2622 0.0011 1.9133
5.3489 0.0011 7.2884
-1.2982 -0.0011 7.3036
4.0013 0.0026 5.1776
7.9293 -0.0003 0.0000
7.6097 0.0026 4.0241
12.9092 -0.0011 1.8981
```

Calculated volume in A^3/atom: 32.504
Calculated density in g/cm³: 3.51
Energy in eV for the cell shown: -32.148

***

(7)
The following is a PBE-GGA calculation of Zr2NbCdCl after structural relaxation, from Alexandria via LeMat-Bulk.

The structure in POSCAR format:
```
Zr2NbCdCl
1.0
5.3711 0.0000 0.0000
0.0000 5.3711 0.0000
0.0000 0.0000 4.7083
Zr Nb Cd Cl
2 1 1 1
Cartesian
0.0000 2.6856 0.0000
2.6856 0.0000 0.0000
0.0000 0.0000 2.3541
2.6856 2.6856 0.0000
2.6856 2.6856 2.3541
```

Calculated volume in A^3/atom: 27.166
Calculated density in g/cm³: 5.17
Energy in eV for the cell shown: -22.362

***

(8)
The following is a PBE-GGA calculation of CaNb after structural relaxation, from Alexandria via LeMat-Bulk.

The structure in POSCAR format:
```
CaNb
1.0
5.4674 0.0000 0.0000
-2.7337 4.7349 0.0000
0.0000 0.0000 6.3522
Ca Nb
2 2
Cartesian
0.0000 3.1566 1.5881
2.7337 1.5783 4.7642
0.0000 3.1566 4.7642
2.7337 1.5783 1.5881
```

Calculated volume in A^3/atom: 41.111
Calculated density in g/cm³: 2.69
Formation enthalpy at 0 K in meV per atom: 2228.2
Distance to the lowest polymorph of the same formula in eV per atom: 1.9528

***

(9)
The following is a PBE-GGA calculation of La2Y5Er3 after structural relaxation, from Alexandria via LeMat-Bulk.

The structure in POSCAR format:
```
La2Y5Er3
1.0
5.3421 -8.2055 0.0000
5.3421 8.2055 0.0000
-5.3377 0.0000 7.6025
La Y Er
4 10 6
Cartesian
1.2807 2.0521 0.3335
-1.3881 -2.0521 4.1347
6.7346 2.0521 3.4678
4.0657 -2.0521 7.2691
-1.2879 1.9352 5.8492
1.3388 4.4479 5.7019
4.0076 3.6869 1.9006
1.3809 -1.9352 2.0479
4.0076 0.4604 1.9006
1.3388 -0.4604 5.7019
3.9655 1.9352 5.5546
1.3388 -3.6869 5.7019
4.0076 -4.4479 1.9006
6.6344 -1.9352 1.7533
1.3388 7.7747 5.7019
1.2776 1.9919 3.4400
-1.3912 -1.9919 7.2412
6.7377 1.9919 0.3613
4.0688 -1.9919 4.1626
4.0076 -7.7747 1.9006
```

Calculated volume in A^3/atom: 33.325
Calculated density in g/cm³: 6.10
Formation enthalpy at 0 K in meV per atom: 188.1

***

(10)
The following is a PBE-GGA calculation of CuSiC3 after structural relaxation, from Alexandria via LeMat-Bulk.

The structure in POSCAR format:
```
CuSiC3
1.0
2.7614 0.0000 0.0000
1.3291 4.7315 0.0000
0.0004 2.1863 4.5041
Cu Si C
1 1 3
Cartesian
0.0000 0.0000 0.0000
2.7360 3.3176 2.4643
1.3549 3.2305 1.3663
1.3549 2.5333 0.0999
2.7361 4.2791 4.0325
```

Calculated volume in A^3/atom: 11.770
Calculated density in g/cm³: 3.60
Distance to the lowest polymorph of the same formula in eV per atom: 0.1679

***

(11)
The following is a PBE-GGA calculation of Nd2Dy8Er3 after structural relaxation, from Alexandria via LeMat-Bulk.

The structure in POSCAR format:
```
Nd2Dy8Er3
1.0
3.7996 -10.3498 0.0000
3.7996 10.3498 0.0000
0.0000 0.0000 5.5297
Nd Dy Er
2 8 3
Cartesian
3.7996 5.3689 0.0000
3.7996 -5.3689 0.0000
3.7996 7.6934 2.7649
2.1871 2.1874 0.0000
3.7996 3.3463 2.7649
2.1871 -2.1874 0.0000
5.4121 2.1874 0.0000
3.7996 -3.3463 2.7649
5.4121 -2.1874 0.0000
3.7996 -7.6934 2.7649
0.0000 0.0000 0.0000
2.1725 0.0000 2.7649
5.4267 0.0000 2.7649
```

Calculated volume in A^3/atom: 33.455
Calculated density in g/cm³: 7.98
Formation enthalpy at 0 K in meV per atom: 235.4
Distance to the lowest polymorph of the same formula in eV per atom: 0.1651